Computed, not measured: a geometry-optimized UBeAs2 structure at the PBE-GGA level of DFT.

Geometry as extended XYZ:
```
4
Lattice="4.312 0.000 0.000 2.156 3.734 0.000 2.156 1.245 7.080" Properties=species:S:1:pos:R:3 pbc="T T T"
Be 0.000 0.000 0.000
As 2.156 1.245 4.998
As 6.468 3.734 2.082
U 4.312 2.489 3.540
```

Summary:
E ... -6.07 eV/atom
Space-group type ... R-3m

---

Computed, not measured: a geometry-optimized BeVAs structure at the PBE-GGA level of DFT.

Geometry as extended XYZ:
```
3
Lattice="3.206 0.000 0.000 0.000 3.751 0.000 0.000 -1.876 3.249" Properties=species:S:1:pos:R:3 pbc="T T T"
Be 2.672 0.000 0.000
As 2.671 1.876 1.083
V 1.068 0.000 2.166
```

Summary:
Excess energy over the best structure of this formula in the dataset ... 188 meV/atom
Space-group type ... P-6m2

---

Computed, not measured: a geometry-optimized BeV2As structure at the PBE-GGA level of DFT.

Geometry as extended XYZ:
```
4
Lattice="0.000 2.935 2.935 2.935 0.000 2.935 2.935 2.935 0.000" Properties=species:S:1:pos:R:3 pbc="T T T"
Be 0.000 0.000 0.000
As 2.935 2.935 2.935
V 1.468 1.468 1.468
V 4.403 4.403 4.403
```

Summary:
Excess energy over the best structure of this formula in the dataset ... 169 meV/atom
Space-group type ... Fm-3m

---

Computed, not measured: a geometry-optimized BeV3As2 structure at the PBE-GGA level of DFT.

Geometry as extended XYZ:
```
24
Lattice="-0.522 -2.653 -2.060 6.075 3.978 -6.662 7.449 -4.607 4.043" Properties=species:S:1:pos:R:3 pbc="T T T"
Be 1.553 -0.679 -0.921
Be 11.450 -2.603 -3.758
Be 6.298 -1.234 -4.214
Be 6.705 -2.048 -0.465
V 2.608 0.518 -2.730
V 10.395 -3.799 -1.950
V 8.147 -0.529 -5.591
V 4.855 -2.753 0.912
V 6.385 1.158 -4.512
V 6.617 -4.440 -0.167
V 2.971 -2.085 -2.274
V 10.032 -1.196 -2.405
V 5.411 -0.507 -2.120
V 7.591 -2.774 -2.559
V 6.457 1.225 -7.421
V 6.545 -4.507 2.742
As 7.864 -0.281 -3.034
As 5.138 -3.001 -1.645
As 8.117 -5.793 1.194
As 4.885 2.511 -5.873
As 2.424 -2.028 0.595
As 10.579 -1.253 -5.274
As 4.153 -0.718 -4.334
As 8.849 -2.563 -0.345
```

Summary:
E ... -6.99 eV/atom
Space-group type ... Pnma

---

Computed, not measured: a geometry-optimized BeVAs2 structure at the PBE-GGA level of DFT.

Geometry as extended XYZ:
```
4
Lattice="3.101 0.000 0.000 1.551 2.686 0.000 1.551 0.895 7.829" Properties=species:S:1:pos:R:3 pbc="T T T"
Be 0.000 0.000 0.000
As 1.551 0.895 5.644
As 4.652 2.686 2.185
V 3.101 1.790 3.915
```

Summary:
E ... -5.47 eV/atom
Space-group type ... R-3m

---

Computed, not measured: a geometry-optimized BeVAs2 structure at the PBE-GGA level of DFT.

Geometry as extended XYZ:
```
8
Lattice="-1.008 4.526 2.982 -5.340 -0.310 -1.335 -4.060 -0.881 5.061" Properties=species:S:1:pos:R:3 pbc="T T T"
Be -3.174 2.108 0.824
Be -6.287 0.458 2.275
As -2.291 2.473 2.899
As -4.500 0.248 0.868
As -5.539 0.913 4.385
As -8.485 3.034 5.266
V 0.000 0.000 0.000
V -4.121 2.876 4.433
```

Summary:
E ... -5.44 eV/atom
Space-group type ... I-42d

---

Computed, not measured: a geometry-optimized BeV2As structure at the PBE-GGA level of DFT.

Geometry as extended XYZ:
```
4
Lattice="-0.046 2.430 2.006 1.862 -1.598 1.978 4.112 1.963 -2.285" Properties=species:S:1:pos:R:3 pbc="T T T"
Be 0.908 0.416 1.992
As 2.964 1.398 0.850
V 3.159 1.508 -1.755
V 0.953 0.455 -0.529
```

Summary:
Excess energy over the best structure of this formula in the dataset ... 64 meV/atom
Space-group type ... P4/mmm

---

Computed, not measured: a geometry-optimized BeVAs structure at the PBE-GGA level of DFT.

Geometry as extended XYZ:
```
6
Lattice="-1.065 -0.092 3.214 -2.695 -1.877 0.838 8.139 -3.603 4.378" Properties=species:S:1:pos:R:3 pbc="T T T"
V 1.288 -1.610 3.950
V 3.092 -3.962 4.481
Be 0.970 -3.485 5.576
Be 3.409 -2.086 2.855
As 0.197 -0.999 1.821
As 4.183 -4.573 6.609
```

Summary:
Excess energy over the best structure of this formula in the dataset ... 0 meV/atom
Space-group type ... R-3m